Computed, not measured: a PBEsol-optimized structure of K5Sb4 at the SCAN level of DFT.

Computed properties:
As for the space group: P-1. The value obtained for the uncorrected formation energy is -0.47 eV/atom. The total energy is -1.5918 Ry/atom. The total moment comes out at 0.00 μB per cell.

Cell lengths 6.4487, 6.7782, 8.1182 Å; angles 92.19, 90.30, 95.93 degrees
Last column: nearest neighbours and their distance in Å.
Atoms (fractional coordinates):
K 0.7075 0.9725 0.3442  5 Sb 3.48-3.83, 2 K 3.73-3.82
K 0.2925 0.0275 0.6558  5 Sb 3.48-3.83, 2 K 3.73-3.82
K 0.2467 0.6994 0.0284  4 Sb 3.47-3.74, 1 K 3.82
Sb 0.7854 0.8267 0.7893  1 Sb 2.79
Sb 0.2146 0.1733 0.2107  1 Sb 2.79
K 0.7533 0.3006 0.9716  4 Sb 3.47-3.74, 1 K 3.82
K 0.0000 0.5000 0.5000  6 Sb 3.40-3.64
Sb 0.5165 0.4724 0.3266  2 Sb 2.79-2.84
Sb 0.4835 0.5276 0.6734  2 Sb 2.79-2.84


Computed, not measured: a PBEsol-optimized structure of K2ScSb at the SCAN level of DFT.

Computed properties:
As for the space group: R-3m. The value obtained for the uncorrected formation energy is 0.24 eV/atom. The total energy is -1.2347 Ry/atom. The total moment comes out at 1.38 μB per cell.

Cell lengths 3.4839, 3.4839, 12.7707 Å; angles 82.16, 82.16, 60.00 degrees
Last column: nearest neighbours and their distance in Å.
Atoms (fractional coordinates):
Sc 0.0000 0.0000 0.0000  6 Sc 3.48
K 0.7581 0.7581 0.7258  6 K 3.48, 3 Sb 3.49
Sb 0.5000 0.5000 0.5000  6 Sb 3.48, 6 K 3.49
K 0.2419 0.2419 0.2742  6 K 3.48, 3 Sb 3.49


Computed, not measured: a PBEsol-optimized structure of KScSb3 at the SCAN level of DFT.

Computed properties:
As for the space group: Pm-3m. The value obtained for the uncorrected formation energy is 1.15 eV/atom. The total energy is -1.8905 Ry/atom. The total moment comes out at 0.00 μB per cell.

Cell lengths 5.4935, 5.4935, 5.4935 Å; angles 90.00, 90.00, 90.00 degrees
Last column: nearest neighbours and their distance in Å.
Atoms (fractional coordinates):
K 0.0000 0.0000 0.0000  6 Sb 2.75
Sb 0.0000 0.0000 0.5000  2 K 2.75
Sc 0.5000 0.5000 0.5000  12 Sb 3.88
Sb 0.0000 0.5000 0.0000  2 K 2.75
Sb 0.5000 0.0000 0.0000  2 K 2.75


Computed, not measured: a PBEsol-optimized structure of K2ScSb at the SCAN level of DFT.

Computed properties:
As for the space group: Cmmm. The value obtained for the uncorrected formation energy is 0.09 eV/atom. The total energy is -1.2460 Ry/atom. The total moment comes out at 1.92 μB per cell.

Cell lengths 3.5525, 6.1561, 6.6777 Å; angles 117.45, 90.00, 90.00 degrees
Last column: nearest neighbours and their distance in Å.
Atoms (fractional coordinates):
K 0.0000 0.5000 0.5000  2 K 3.08
Sc 0.5000 0.5000 0.0000  2 Sb 3.08
Sb 0.5000 0.0000 0.0000  2 Sc 3.08
K 0.0000 0.0000 0.5000  2 K 3.08


Computed, not measured: a PBEsol-optimized structure of K2ScSb at the SCAN level of DFT.

Computed properties:
As for the space group: P4/mmm. The value obtained for the uncorrected formation energy is 0.06 eV/atom. The total energy is -1.2481 Ry/atom. The total moment comes out at 1.81 μB per cell.

Cell lengths 4.8453, 4.8453, 5.9000 Å; angles 90.00, 90.00, 90.00 degrees
Last column: nearest neighbours and their distance in Å.
Atoms (fractional coordinates):
Sb 0.5000 0.5000 0.0000  2 Sc 2.95
K 0.0000 0.0000 0.7631  2 K 2.80-3.10
K 0.0000 0.0000 0.2369  2 K 2.80-3.10
Sc 0.5000 0.5000 0.5000  2 Sb 2.95


Computed, not measured: a PBEsol-optimized structure of KScSb2Se at the SCAN level of DFT.

Computed properties:
As for the space group: P4/mmm. The value obtained for the uncorrected formation energy is 1.34 eV/atom. The total energy is -1.6236 Ry/atom. The total moment comes out at 0.00 μB per cell.

Cell lengths 4.8229, 5.6405, 5.6405 Å; angles 90.00, 90.00, 90.00 degrees
Last column: nearest neighbours and their distance in Å.
Atoms (fractional coordinates):
Sc 0.5000 0.0000 0.0000  2 K 2.41
Se 0.5000 0.5000 0.5000  8 Sb 3.71, 4 Sc 3.99
Sb 0.0000 0.5000 0.0000  2 K 2.82
K 0.0000 0.0000 0.0000  2 Sc 2.41
Sb 0.0000 0.0000 0.5000  2 K 2.82


Computed, not measured: a PBEsol-optimized structure of K3SbSe3 at the SCAN level of DFT.

Computed properties:
As for the space group: P2_13. The value obtained for the uncorrected formation energy is -1.10 eV/atom. The total energy is -1.3672 Ry/atom. The total moment comes out at 0.00 μB per cell.

Cell lengths 9.7138, 9.7138, 9.7138 Å; angles 90.00, 90.00, 90.00 degrees
Last column: nearest neighbours and their distance in Å.
Atoms (fractional coordinates):
Se 0.2216 0.6070 0.4969  1 Sb 2.58
Se 0.8930 0.5031 0.7216  1 Sb 2.58
Sb 0.9683 0.5317 0.4683  3 Se 2.58
K 0.8143 0.8143 0.8143  6 Se 3.25-3.40
Se 0.4969 0.2216 0.6070  1 Sb 2.58
Se 0.5031 0.7216 0.8930  1 Sb 2.58
Se 0.3930 0.9969 0.2784  1 Sb 2.58
K 0.0764 0.9236 0.4236  6 Se 3.46-3.54
K 0.6857 0.1857 0.3143  6 Se 3.25-3.40
Sb 0.4683 0.9683 0.5317  3 Se 2.58
Se 0.7216 0.8930 0.5031  1 Sb 2.58
K 0.4236 0.0764 0.9236  6 Se 3.46-3.54
K 0.3143 0.6857 0.1857  6 Se 3.25-3.40
K 0.9236 0.4236 0.0764  6 Se 3.46-3.54
Se 0.6070 0.4969 0.2216  1 Sb 2.58
Se 0.9969 0.2784 0.3930  1 Sb 2.58
Se 0.0031 0.7784 0.1070  1 Sb 2.58
K 0.1857 0.3143 0.6857  6 Se 3.25-3.40
Se 0.1070 0.0031 0.7784  1 Sb 2.58
K 0.5764 0.5764 0.5764  6 Se 3.46-3.54
Se 0.7784 0.1070 0.0031  1 Sb 2.58
K 0.3195 0.3195 0.3195  6 Se 3.24-3.42
K 0.8195 0.1805 0.6805  6 Se 3.24-3.42
Sb 0.0317 0.0317 0.0317  3 Se 2.58
K 0.6805 0.8195 0.1805  6 Se 3.24-3.42
Sb 0.5317 0.4683 0.9683  3 Se 2.58
Se 0.2784 0.3930 0.9969  1 Sb 2.58
K 0.1805 0.6805 0.8195  6 Se 3.24-3.42


Computed, not measured: a PBEsol-optimized structure of K3SbSe4 at the SCAN level of DFT.

Computed properties:
As for the space group: R3c. The value obtained for the uncorrected formation energy is -1.00 eV/atom. The total energy is -1.3834 Ry/atom. The total moment comes out at 0.00 μB per cell.

Cell lengths 7.9520, 7.9520, 7.9520 Å; angles 91.79, 91.79, 91.79 degrees
Last column: nearest neighbours and their distance in Å.
Atoms (fractional coordinates):
K 0.4636 0.5197 0.0004  5 Se 3.24-3.51
K 0.5197 0.0004 0.4636  5 Se 3.24-3.51
Sb 0.5014 0.5014 0.5014  4 Se 2.50-2.51
Se 0.8139 0.8139 0.8139  1 Sb 2.50
Se 0.6991 0.6666 0.3240  1 Sb 2.51
Se 0.3139 0.3139 0.3139  1 Sb 2.50
K 0.5004 0.0197 0.9636  5 Se 3.24-3.51
K 0.0197 0.9636 0.5004  5 Se 3.24-3.51
Se 0.1666 0.1991 0.8240  1 Sb 2.51
Se 0.8240 0.1666 0.1991  1 Sb 2.51
Sb 0.0014 0.0014 0.0014  4 Se 2.50-2.51
Se 0.6666 0.3240 0.6991  1 Sb 2.51
Se 0.3240 0.6991 0.6666  1 Sb 2.51
K 0.9636 0.5004 0.0197  5 Se 3.24-3.51
Se 0.1991 0.8240 0.1666  1 Sb 2.51
K 0.0004 0.4636 0.5197  5 Se 3.24-3.51


Computed, not measured: a PBEsol-optimized structure of KSbSe2 at the SCAN level of DFT.

Computed properties:
As for the space group: Imm2. The value obtained for the uncorrected formation energy is -0.61 eV/atom. The total energy is -1.6202 Ry/atom. The total moment comes out at 0.00 μB per cell.

Cell lengths 3.7914, 4.1025, 7.9453 Å; angles 104.96, 103.80, 90.00 degrees
Last column: nearest neighbours and their distance in Å.
Atoms (fractional coordinates):
Sb 0.2976 0.7976 0.5953  6 Se 2.75-3.00
K 0.5465 0.5465 0.0931  6 Se 3.27-3.34
Se 0.7241 0.2241 0.4482  4 Sb 3.00, 2 K 3.34
Se 0.9317 0.9317 0.8634  2 Sb 2.75


Computed, not measured: a PBEsol-optimized structure of KSbSe2 at the SCAN level of DFT.

Computed properties:
As for the space group: P2/c. The value obtained for the uncorrected formation energy is -0.78 eV/atom. The total energy is -1.6326 Ry/atom. The total moment comes out at 0.00 μB per cell.

Cell lengths 6.3936, 6.4530, 12.3757 Å; angles 82.73, 90.00, 90.00 degrees
Last column: nearest neighbours and their distance in Å.
Atoms (fractional coordinates):
Sb 0.7899 0.0338 0.3794  3 Se 2.59-2.87
Se 0.1916 0.9773 0.3854  1 Sb 2.59
Se 0.2331 0.9379 0.8538  2 Sb 2.59-2.87
Sb 0.7899 0.4662 0.1206  3 Se 2.59-2.87
Se 0.1916 0.5227 0.1146  1 Sb 2.59
Se 0.8084 0.4773 0.8854  1 Sb 2.59
Sb 0.2101 0.9662 0.6206  3 Se 2.59-2.87
K 0.7387 0.5214 0.6188  6 Se 3.19-3.40
Se 0.2331 0.5621 0.6462  2 Sb 2.59-2.87
K 0.2613 0.4786 0.3812  6 Se 3.19-3.40
Se 0.8084 0.0227 0.6146  1 Sb 2.59
Sb 0.2101 0.5338 0.8794  3 Se 2.59-2.87
K 0.2613 0.0214 0.1188  6 Se 3.19-3.40
Se 0.7669 0.0621 0.1462  2 Sb 2.59-2.87
K 0.7387 0.9786 0.8812  6 Se 3.19-3.40
Se 0.7669 0.4379 0.3538  2 Sb 2.59-2.87


Computed, not measured: a PBEsol-optimized structure of KSbSe2 at the SCAN level of DFT.

Computed properties:
As for the space group: P4mm. The value obtained for the uncorrected formation energy is -0.68 eV/atom. The total energy is -1.6253 Ry/atom. The total moment comes out at 0.00 μB per cell.

Cell lengths 4.1844, 4.1844, 7.1423 Å; angles 90.00, 90.00, 90.00 degrees
Last column: nearest neighbours and their distance in Å.
Atoms (fractional coordinates):
Se 0.5000 0.5000 0.2784  1 Sb 2.46
Sb 0.5000 0.5000 0.9338  1 Se 2.46
K 0.0000 0.0000 0.4110  5 Se 3.11-3.33
Se 0.0000 0.0000 0.8768  4 Sb 2.99, 1 K 3.33


Computed, not measured: a PBEsol-optimized structure of K2SiSb at the SCAN level of DFT.

Computed properties:
As for the space group: Imm2. The value obtained for the uncorrected formation energy is -0.21 eV/atom. The total energy is -1.1905 Ry/atom. The total moment comes out at 0.00 μB per cell.

Cell lengths 4.0152, 5.6325, 6.5817 Å; angles 115.33, 107.76, 90.00 degrees
Last column: nearest neighbours and their distance in Å.
Atoms (fractional coordinates):
Sb 0.5565 0.5565 0.1130  2 Si 2.60
K 0.9683 0.9683 0.9367  4 Si 3.57-3.86, 4 K 3.58-3.94, 4 Sb 3.60
Si 0.2043 0.7043 0.4086  2 Sb 2.60
K 0.7709 0.2709 0.5417  4 Si 3.54, 4 K 3.58-3.94, 4 Sb 3.70-3.78


Question: Look up the uncorrected formation energy of the sixth one.
Answer: 1.34 eV/atom


Question: What is the formula in the twelfth record?
Answer: K2SiSb